This record from Alexandria describes crystalline PN at its relaxed geometry. The functional is GGA-PBE.

volume: 36.7 Å³ per atom
space-group type: I-43m

Cell: 7.254 7.254 7.254 Å, 109.47 109.47 109.47°
Fractional coordinates of all 8 atoms:
1 P 0.000 0.000 0.214
2 P 0.000 0.214 0.000
3 P 0.214 0.000 0.000
4 P 0.786 0.786 0.786
5 N 0.000 0.000 0.785
6 N 0.000 0.785 0.000
7 N 0.215 0.215 0.215
8 N 0.785 0.000 0.000

=====

This record from Alexandria describes crystalline PN at its relaxed geometry. The functional is GGA-PBE.

volume: 27.9 Å³ per atom
space-group type: Pmn2_1

Cell: 13.309 2.634 9.538 Å, 90.00 90.00 90.00°
Fractional coordinates of all 12 atoms:
1 P 0.000 0.017 0.000
2 P 0.241 0.491 0.726
3 P 0.259 0.509 0.226
4 P 0.500 0.983 0.500
5 P 0.741 0.509 0.226
6 P 0.759 0.491 0.726
7 N 0.000 0.517 0.897
8 N 0.228 0.009 0.132
9 N 0.272 0.991 0.632
10 N 0.500 0.483 0.397
11 N 0.728 0.991 0.632
12 N 0.772 0.009 0.132

=====

This record from Alexandria describes crystalline P3N5 at its relaxed geometry. The functional is GGA-PBE.

volume: 9.6 Å³ per atom
space-group type: Imm2

Cell: 7.027 7.027 7.027 Å, 158.43 43.46 142.74°
Fractional coordinates of all 8 atoms:
1 P 0.000 0.000 0.000
2 P 0.478 0.161 0.317
3 P 0.844 0.161 0.683
4 N 0.196 0.696 0.500
5 N 0.212 0.438 0.773
6 N 0.665 0.438 0.227
7 N 0.676 0.780 0.896
8 N 0.883 0.780 0.104

=====

Calculated values (meV per atom) of raw formation energy for the records, taken in order: 481, 333, -205.
Calculated values (eV per cell) of total energy for the records, taken in order: -51.09, -78.42, -59.50.